No. 1
# CsGeSb3, optimized geometry, DFT GGA-PBE
data_CsGeSb3
_symmetry_space_group_name_H-M 'P m -3 m'
_symmetry_Int_Tables_number 221
_symmetry_space_group_name_Hall '-P 4 2 3'
_cell_length_a 6.074
_cell_length_b 6.074
_cell_length_c 6.074
_cell_angle_alpha 90.00
_cell_angle_beta 90.00
_cell_angle_gamma 90.00
loop_
_atom_site_label
_atom_site_type_symbol
_atom_site_fract_x
_atom_site_fract_y
_atom_site_fract_z
Cs1 Cs 0.000 0.000 0.000
Ge1 Ge 0.500 0.500 0.500
Sb1 Sb 0.000 0.000 0.500
# Offset from the most stable computed form = 33.48 kcal/mol of atoms
# V = 44.8 A^3/atom
# ΔE_f (raw) = 1.716 eV/atom

=====

No. 2
# Mg4AgPdRh2, optimized geometry, DFT GGA-PBE
data_Mg4AgPdRh2
_symmetry_space_group_name_H-M 'R -3 m'
_symmetry_Int_Tables_number 166
_symmetry_space_group_name_Hall '-R 3 2"'
_cell_length_a 4.4857
_cell_length_b 4.4857
_cell_length_c 22.0023
_cell_angle_alpha 90.00
_cell_angle_beta 90.00
_cell_angle_gamma 120.00
loop_
_atom_site_label
_atom_site_type_symbol
_atom_site_fract_x
_atom_site_fract_y
_atom_site_fract_z
Mg1 Mg 0.0000 0.0000 0.1224
Mg2 Mg 0.0000 0.0000 0.3725
Ag1 Ag 0.0000 0.0000 0.5000
Pd1 Pd 0.0000 0.0000 0.0000
Rh1 Rh 0.0000 0.0000 0.2486
# V = 16.0 A^3/atom
# Calculated total energy = -0.15282 hartree per atom

=====

No. 3
# SrMn2Ir, optimized geometry, DFT GGA-PBE
data_SrMn2Ir
_symmetry_space_group_name_H-M 'C 1 2/m 1'
_symmetry_Int_Tables_number 12
_cell_length_a 5.800
_cell_length_b 9.609
_cell_length_c 2.954
_cell_angle_alpha 90.00
_cell_angle_beta 114.69
_cell_angle_gamma 90.00
loop_
_symmetry_equiv_pos_as_xyz
'x,y,z'
'-x,-y,-z'
'-x,y,-z'
'x,-y,z'
'x+1/2,y+1/2,z'
'-x+1/2,-y+1/2,-z'
'-x+1/2,y+1/2,-z'
'x+1/2,-y+1/2,z'
loop_
_atom_site_label
_atom_site_type_symbol
_atom_site_fract_x
_atom_site_fract_y
_atom_site_fract_z
Sr1 Sr 0.000 0.000 0.000
Mn1 Mn 0.250 0.250 0.500
Ir1 Ir 0.000 0.500 0.000
# V = 18.7 A^3/atom
# Calculated total energy = -0.24125 hartree per atom

=====

No. 4
# BaReW2, optimized geometry, DFT GGA-PBE
data_BaReW2
_symmetry_space_group_name_H-M 'C 1 m 1'
_symmetry_Int_Tables_number 8
_cell_length_a 9.640
_cell_length_b 3.224
_cell_length_c 6.526
_cell_angle_alpha 90.00
_cell_angle_beta 102.73
_cell_angle_gamma 90.00
loop_
_symmetry_equiv_pos_as_xyz
'x,y,z'
'x,-y,z'
'x+1/2,y+1/2,z'
'x+1/2,-y+1/2,z'
loop_
_atom_site_label
_atom_site_type_symbol
_atom_site_fract_x
_atom_site_fract_y
_atom_site_fract_z
Ba1 Ba 0.000 0.000 0.000
Re1 Re 0.224 0.000 0.629
W1 W 0.009 0.500 0.511
W2 W 0.292 0.500 0.379
# Offset from the most stable computed form = 3.19 kcal/mol of atoms
# V = 24.7 A^3/atom

=====

No. 5
# Li6AlZn, optimized geometry, DFT GGA-PBE
data_Li6AlZn
_symmetry_space_group_name_H-M 'A m m 2'
_symmetry_Int_Tables_number 38
_cell_length_a 4.400
_cell_length_b 7.721
_cell_length_c 7.882
_cell_angle_alpha 90.00
_cell_angle_beta 90.00
_cell_angle_gamma 90.00
loop_
_symmetry_equiv_pos_as_xyz
'x,y,z'
'-x,-y,z'
'-x,y,z'
'x,-y,z'
'x,y+1/2,z+1/2'
'-x,-y+1/2,z+1/2'
'-x,y+1/2,z+1/2'
'x,-y+1/2,z+1/2'
loop_
_atom_site_label
_atom_site_type_symbol
_atom_site_fract_x
_atom_site_fract_y
_atom_site_fract_z
Li1 Li 0.000 0.000 0.000
Li2 Li 0.000 0.218 0.692
Li3 Li 0.500 0.000 0.637
Li4 Li 0.500 0.227 0.930
Al1 Al 0.000 0.000 0.402
Zn1 Zn 0.500 0.000 0.214
# V = 16.7 A^3/atom
# Calculated total energy = -0.07977 hartree per atom

=====

No. 6
# LaZrB, optimized geometry, DFT GGA-PBE
data_LaZrB
_symmetry_space_group_name_H-M 'C m c m'
_symmetry_Int_Tables_number 63
_symmetry_space_group_name_Hall '-C 2c 2'
_cell_length_a 3.475
_cell_length_b 22.286
_cell_length_c 3.221
_cell_angle_alpha 90.00
_cell_angle_beta 90.00
_cell_angle_gamma 90.00
loop_
_atom_site_label
_atom_site_type_symbol
_atom_site_fract_x
_atom_site_fract_y
_atom_site_fract_z
La1 La 0.000 0.182 0.250
Zr1 Zr 0.000 0.438 0.250
B1 B 0.000 0.018 0.250
# Offset from the most stable computed form = 0.00 kcal/mol of atoms
# V = 20.8 A^3/atom